Record 1
This record from Alexandria via LeMat-Bulk describes crystalline AlPBr at its relaxed geometry. The functional is PBE.

a = 3.5068 Å, b = 3.5068 Å, c = 11.3159 Å
α = 90.00°, β = 90.00°, γ = 90.00°
Last column: nearest neighbours and their distance in Å.
Space group I4mm (No. 107)
Asymmetric unit:
Al 0.0000 0.0000 0.0000 [2 per cell]  1 Br 2.44, 4 P 2.53
P 0.0000 0.0000 0.5438 [2 per cell]  4 Al 2.53, 1 Br 2.72
Br 0.0000 0.0000 0.7843 [2 per cell]  1 Al 2.44, 1 P 2.72

Output
* E_tot: -3.694 eV per atom
* formation energy without anion corrections: -86 meV per atom
* crystal system: tetragonal
* energy above the lowest structure with this stoichiometry: 99.2 meV per atom
* spin magnetization: 0.0 μB/cell
* V: 139.16 Å³ per cell

Record 2
This record from Alexandria via LeMat-Bulk describes crystalline AsOs2Pb at its relaxed geometry. The functional is PBE.

a = 3.0420 Å, b = 5.1867 Å, c = 9.0268 Å
α = 90.00°, β = 90.00°, γ = 90.00°
Last column: nearest neighbours and their distance in Å.
Space group Immm (No. 71)
Asymmetric unit:
As 0.0000 0.0000 0.0000 [2 per cell]  4 Os 2.47
Os 0.0000 0.5000 0.2838 [4 per cell]  2 As 2.47
Pb 0.0000 0.0000 0.5000 [2 per cell]  8 Os 2.98-3.25, 4 As 3.01, 2 Pb 3.04

Output
* E_tot: -6.790 eV per atom
* crystal system: orthorhombic
* energy above the lowest structure with this stoichiometry: 513.7 meV per atom
* spin magnetization: 0.0 μB/cell
* V: 142.42 Å³ per cell

Record 3
This record from Alexandria via LeMat-Bulk describes crystalline LaTmGaNi at its relaxed geometry. The functional is PBE.

a = 7.1315 Å, b = 7.1315 Å, c = 7.1315 Å
α = 90.00°, β = 90.00°, γ = 90.00°
Last column: nearest neighbours and their distance in Å.
Space group F-43m (No. 216)
Asymmetric unit:
La 0.0000 0.0000 0.0000 [4 per cell]  4 Ni 3.09, 4 Ga 3.09
Tm 0.0000 0.0000 0.5000 [4 per cell]  4 Ga 3.09, 4 Ni 3.09
Ga 0.2500 0.2500 0.7500 [4 per cell]  4 La 3.09, 4 Tm 3.09
Ni 0.2500 0.2500 0.2500 [4 per cell]  4 La 3.09, 4 Tm 3.09

Output
* E_tot: -4.936 eV per atom
* crystal system: cubic
* spin magnetization: 0.0 μB/cell
* V: 362.69 Å³ per cell

Record 4
This record from Alexandria via LeMat-Bulk describes crystalline La12TbY7 at its relaxed geometry. The functional is PBE.

a = 12.5413 Å, b = 12.5413 Å, c = 15.5248 Å
α = 90.00°, β = 90.00°, γ = 120.00°
Last column: nearest neighbours and their distance in Å.
Space group R-3 (No. 148, hexagonal axes)
Asymmetric unit:
La 0.0136 0.4401 0.2209 [18 per cell]  3 La 3.22-3.40
La 0.0643 0.5962 0.5790 [18 per cell]  4 La 3.22-3.40, 1 Y 3.32
Tb 0.0000 0.0000 0.5000 [3 per cell]  6 Y 3.65, 6 La 3.67
Y 0.0000 0.0000 0.0000 [3 per cell]  6 La 3.32
Y 0.0518 0.1841 0.3063 [18 per cell]  3 Y 3.50-3.57, 1 Tb 3.65, 6 La 3.72-3.80

Output
* E_tot: -5.269 eV per atom
* crystal system: trigonal
* energy above the lowest structure with this stoichiometry: 0.0 meV per atom
* spin magnetization: 0.0 μB/cell
* V: 2114.69 Å³ per cell

Record 5
This record from Alexandria via LeMat-Bulk describes crystalline Ag3ICl3 at its relaxed geometry. The functional is PBE.

a = 9.6665 Å, b = 16.7498 Å, c = 5.2983 Å
α = 90.00°, β = 90.00°, γ = 90.00°
Last column: nearest neighbours and their distance in Å.
Space group Cmcm (No. 63)
Asymmetric unit:
Ag 0.0000 0.1663 0.2500 [4 per cell]  4 Cl 2.66-2.69, 1 I 2.79
Ag 0.2503 0.0831 0.7500 [8 per cell]  4 Cl 2.66-2.70, 1 I 2.79
I 0.0000 0.3330 0.2500 [4 per cell]  3 Ag 2.79
Cl 0.0000 0.1540 0.7500 [4 per cell]  4 Ag 2.66-2.70
Cl 0.2318 0.0769 0.2500 [8 per cell]  4 Ag 2.66-2.69

Output
* E_tot: -2.577 eV per atom
* formation energy without anion corrections: -342 meV per atom
* crystal system: orthorhombic
* energy above the lowest structure with this stoichiometry: 0.0 meV per atom
* spin magnetization: 0.0 μB/cell
* V: 857.86 Å³ per cell

Record 6
This record from Alexandria via LeMat-Bulk describes crystalline K3CdTc2O8 at its relaxed geometry. The functional is PBE.

a = 6.0380 Å, b = 6.0380 Å, c = 7.7837 Å
α = 90.00°, β = 90.00°, γ = 120.00°
Last column: nearest neighbours and their distance in Å.
Space group P-3m1 (No. 164)
Asymmetric unit:
K 0.0000 0.0000 0.0000 [1 per cell]  6 O 3.02
K 0.3333 0.6667 0.6599 [2 per cell]  1 O 2.59
Cd 0.0000 0.0000 0.5000 [1 per cell]  6 O 2.32
Tc 0.3333 0.6667 0.2191 [2 per cell]  4 O 1.77-1.84
O 0.1719 0.3437 0.3116 [6 per cell]  1 Tc 1.84
O 0.3333 0.6667 0.9920 [2 per cell]  1 Tc 1.77

Output
* E_tot: -6.096 eV per atom
* formation energy without anion corrections: -1481 meV per atom
* crystal system: trigonal
* spin magnetization: 3.0 μB/cell
* V: 245.75 Å³ per cell

Record 7
This record from Alexandria via LeMat-Bulk describes crystalline Tb3Mg5Se12 at its relaxed geometry. The functional is PBE.

a = 16.1632 Å, b = 16.1632 Å, c = 16.1632 Å
α = 90.00°, β = 90.00°, γ = 90.00°
Last column: nearest neighbours and their distance in Å.
Space group Ia-3d (No. 230)
Asymmetric unit:
Tb 0.0000 0.2500 0.1250 [24 per cell]  8 Se 2.95-3.08
Mg 0.0000 0.0000 0.0000 [16 per cell]  6 Se 2.76
Mg 0.0000 0.2500 0.3750 [24 per cell]  4 Se 2.54
Se 0.0236 0.0711 0.6537 [96 per cell]  2 Mg 2.54-2.76

Output
* E_tot: -4.256 eV per atom
* formation energy without anion corrections: -1072 meV per atom
* crystal system: cubic
* spin magnetization: 0.0 μB/cell
* V: 4222.59 Å³ per cell

Record 8
This record from Alexandria via LeMat-Bulk describes crystalline YHf2AlTl at its relaxed geometry. The functional is PBE.

a = 5.1057 Å, b = 5.1057 Å, c = 5.1225 Å
α = 90.00°, β = 90.00°, γ = 90.00°
Last column: nearest neighbours and their distance in Å.
Space group P4/mmm (No. 123)
Asymmetric unit:
Y 0.0000 0.0000 0.0000 [1 per cell]  4 Tl 3.61, 8 Hf 3.62
Hf 0.0000 0.5000 0.5000 [2 per cell]  2 Al 2.55
Al 0.5000 0.5000 0.5000 [1 per cell]  4 Hf 2.55, 2 Tl 2.56
Tl 0.5000 0.5000 0.0000 [1 per cell]  2 Al 2.56

Output
* E_tot: -5.858 eV per atom
* crystal system: tetragonal
* spin magnetization: 1.9 μB/cell
* V: 133.53 Å³ per cell

Record 9
This record from Alexandria via LeMat-Bulk describes crystalline LaPW2 at its relaxed geometry. The functional is PBE.

a = 3.1426 Å, b = 3.1426 Å, c = 7.7704 Å
α = 90.00°, β = 90.00°, γ = 90.00°
Last column: nearest neighbours and their distance in Å.
Space group P4/mmm (No. 123)
Asymmetric unit:
La 0.0000 0.0000 0.0000 [1 per cell]  4 La 3.14, 8 W 3.42
P 0.0000 0.0000 0.5000 [1 per cell]  8 W 2.57
W 0.5000 0.5000 0.3346 [2 per cell]  4 P 2.57, 1 W 2.57

Output
* E_tot: -8.688 eV per atom
* crystal system: tetragonal
* energy above the lowest structure with this stoichiometry: 440.6 meV per atom
* spin magnetization: 0.0 μB/cell
* V: 76.74 Å³ per cell

Record 10
This record from Alexandria via LeMat-Bulk describes crystalline YMn3Pb at its relaxed geometry. The functional is PBE.

a = 5.0581 Å, b = 5.0581 Å, c = 5.0581 Å
α = 90.00°, β = 90.00°, γ = 90.00°
Last column: nearest neighbours and their distance in Å.
Space group Pm-3m (No. 221)
Asymmetric unit:
Y 0.0000 0.0000 0.0000 [1 per cell]  12 Mn 3.58
Mn 0.0000 0.5000 0.5000 [3 per cell]  2 Pb 2.53
Pb 0.5000 0.5000 0.5000 [1 per cell]  6 Mn 2.53

Output
* E_tot: -6.539 eV per atom
* crystal system: cubic
* energy above the lowest structure with this stoichiometry: 0.0 meV per atom
* spin magnetization: 10.4 μB/cell
* V: 129.41 Å³ per cell

Record 11
This record from Alexandria via LeMat-Bulk describes crystalline PrScCu2Ge2 at its relaxed geometry. The functional is PBE.

a = 4.2557 Å, b = 4.2557 Å, c = 7.2044 Å
α = 90.00°, β = 90.00°, γ = 120.00°
Last column: nearest neighbours and their distance in Å.
Space group P-3m1 (No. 164)
Asymmetric unit:
Pr 0.0000 0.0000 0.0000 [1 per cell]  6 Ge 3.16, 6 Cu 3.33
Sc 0.0000 0.0000 0.5000 [1 per cell]  6 Cu 2.81, 6 Ge 2.94
Cu 0.3333 0.6667 0.6881 [2 per cell]  3 Ge 2.47
Ge 0.3333 0.6667 0.2762 [2 per cell]  3 Cu 2.47

Output
* E_tot: -5.418 eV per atom
* crystal system: trigonal
* spin magnetization: 0.0 μB/cell
* V: 113.00 Å³ per cell

Record 12
This record from Alexandria via LeMat-Bulk describes crystalline RbMgHg3 at its relaxed geometry. The functional is PBE.

a = 6.7024 Å, b = 6.7024 Å, c = 6.7024 Å
α = 90.00°, β = 90.00°, γ = 90.00°
Last column: nearest neighbours and their distance in Å.
Space group Pm-3m (No. 221)
Asymmetric unit:
Rb 0.0000 0.0000 0.0000 [1 per cell]  6 Hg 3.35
Mg 0.5000 0.5000 0.5000 [1 per cell]  12 Hg 4.74
Hg 0.0000 0.0000 0.5000 [3 per cell]  2 Rb 3.35

Output
* E_tot: -0.352 eV per atom
* crystal system: cubic
* energy above the lowest structure with this stoichiometry: 525.7 meV per atom
* spin magnetization: 0.0 μB/cell
* V: 301.08 Å³ per cell